Entry 1:
## MgV4O8 (PBE+U)

Data for an optimized crystal structure of MgV4O8.

```
MgV4O8
1.0
1.5061 7.2250 0.0222
-1.5061 7.2250 0.0222
0.0000 6.1776 7.2600
Mg V O
1 4 8
direct
0.3263 0.3263 0.2004
0.6226 0.6226 0.5659
0.1370 0.1370 0.2004
0.8353 0.8353 0.8352
0.3452 0.3452 0.4929
0.8488 0.8488 0.6211
0.4596 0.4596 0.7443
0.5298 0.5298 0.2886
0.1385 0.1385 0.4072
0.1616 0.1616 0.6480
0.7816 0.7816 0.0984
0.8276 0.8276 0.3463
0.2084 0.2084 0.9601
```

Computed properties:
Crystal system ... monoclinic
Calculated volume ... 12.12 Å³/atom
Relative energy among the computed polymorphs ... 0.0000 eV per atom
Calculated density ... 3.8 g/cm3

Entry 2:
## Mg3V2O8 (PBE+U)

Data for an optimized crystal structure of Mg3V2O8.

```
Mg3V2O8
1.0
-4.8294 3.2470 0.1793
-4.8181 -2.5360 2.0622
-1.8476 1.7061 5.2510
Mg V O
3 2 8
direct
0.5000 0.5000 0.0000
0.0000 0.5000 0.5000
0.5000 0.0000 0.5000
0.8760 0.8760 0.8760
0.1240 0.1240 0.1240
0.2367 0.7727 0.2367
0.7440 0.7440 0.7440
0.7633 0.7633 0.2273
0.2273 0.7633 0.7633
0.2367 0.2367 0.7727
0.7727 0.2367 0.2367
0.7633 0.2273 0.7633
0.2560 0.2560 0.2560
```

Computed properties:
Crystal system ... trigonal
Calculated volume ... 11.44 Å³/atom
Relative energy among the computed polymorphs ... 0.0193 eV per atom
Calculated density ... 3.4 g/cm3
Fermi-level density of states ... 0.000 states/eV/atom

Entry 3:
## MgVO2 (PBE+U)

Data for an optimized crystal structure of MgVO2.

```
MgVO2
1.0
-0.6753 -0.5086 2.7989
-2.4949 -7.6108 -0.4756
6.9391 -3.1827 2.6222
Mg O V
4 8 4
direct
0.1776 0.1871 0.9620
0.8224 0.8129 0.0380
0.9293 0.4019 0.2470
0.0707 0.5981 0.7530
0.1863 0.9525 0.1749
0.6200 0.6890 0.5684
0.3800 0.3110 0.4316
0.8137 0.0475 0.8251
0.4423 0.7206 0.8890
0.1974 0.3513 0.7572
0.5577 0.2794 0.1110
0.8026 0.6487 0.2428
0.4473 0.9151 0.6883
0.8196 0.2445 0.6181
0.1804 0.7555 0.3819
0.5527 0.0849 0.3117
```

Computed properties:
Crystal system ... triclinic
Calculated volume ... 11.43 Å³/atom
Calculated density ... 3.9 g/cm3

Entry 4:
## MgV2O5 (PBE+U)

Data for an optimized crystal structure of MgV2O5.

```
MgV2O5
1.0
-0.1509 -0.2394 -3.4126
-0.3420 -4.8722 0.3570
-11.6147 0.8485 0.4541
Mg V O
2 4 10
direct
0.5000 0.3225 0.0000
0.0000 0.6775 0.5000
0.0000 0.8931 0.8494
0.5000 0.1069 0.6506
0.5000 0.1069 0.3494
0.0000 0.8931 0.1506
0.5000 0.9282 0.5000
0.0000 0.0718 0.0000
0.5000 0.0706 0.8247
0.0000 0.9294 0.6753
0.5000 0.0706 0.1753
0.0000 0.9294 0.3247
0.0000 0.5596 0.1144
0.5000 0.4404 0.3856
0.5000 0.4404 0.6144
0.0000 0.5596 0.8856
```

Computed properties:
Crystal system ... orthorhombic
Calculated volume ... 12.22 Å³/atom
Relative energy among the computed polymorphs ... 0.0754 eV per atom
Calculated density ... 3.5 g/cm3
Fermi-level density of states ... 0.000 states/eV/atom

Entry 5:
## MgV2O5 (PBE+U)

Data for an optimized crystal structure of MgV2O5.

```
MgV2O5
1.0
5.4176 0.0022 0.0000
-4.1403 3.4941 0.0000
0.0000 0.0000 11.2244
Mg V O
2 4 10
direct
0.1088 0.8912 0.7500
0.8912 0.1088 0.2500
0.7992 0.2008 0.5978
0.2008 0.7992 0.4022
0.2008 0.7992 0.0978
0.7992 0.2008 0.9022
0.3034 0.6966 0.2500
0.6966 0.3034 0.7500
0.7646 0.2354 0.0775
0.2354 0.7646 0.9225
0.2354 0.7646 0.5775
0.7646 0.2354 0.4225
0.9592 0.0408 0.6282
0.0408 0.9592 0.3718
0.9592 0.0408 0.8718
0.0408 0.9592 0.1282
```

Computed properties:
Crystal system ... orthorhombic
Calculated volume ... 13.29 Å³/atom
Relative energy among the computed polymorphs ... 0.0000 eV per atom
Calculated density ... 3.2 g/cm3
Fermi-level density of states ... 0.000 states/eV/atom

Entry 6:
## Mg2V9O13 (PBE+U)

Data for an optimized crystal structure of Mg2V9O13.

```
Mg2V9O13
1.0
1.4886 5.0137 0.0643
-1.4886 5.0137 0.0643
0.0000 2.9426 16.9508
Mg V O
2 9 13
direct
0.7900 0.7900 0.2329
0.2100 0.2100 0.7671
0.5000 0.5000 0.5000
0.3527 0.3527 0.0437
0.6473 0.6473 0.9563
0.2470 0.2470 0.4188
0.7530 0.7530 0.5812
0.0651 0.0651 0.1281
0.9349 0.9349 0.8719
0.0126 0.0126 0.3321
0.9874 0.9874 0.6679
0.0000 0.0000 0.0000
0.1409 0.1409 0.2336
0.8591 0.8591 0.7664
0.7031 0.7031 0.0728
0.2969 0.2969 0.9272
0.4169 0.4169 0.1521
0.5831 0.5831 0.8479
0.3823 0.3823 0.3098
0.6177 0.6177 0.6902
0.6171 0.6171 0.3815
0.3829 0.3829 0.6185
0.8752 0.8752 0.4571
0.1248 0.1248 0.5429
```

Computed properties:
Crystal system ... monoclinic
Calculated volume ... 10.52 Å³/atom
Calculated density ... 4.7 g/cm3
Fermi-level density of states ... 0.169 states/eV/atom

no.,total magnetic moment (μB/f.u.),E_tot (eV per atom)
1,6.0,-7.544
2,0.0,-6.877
3,2.5,-6.678
4,2.0,-7.273
5,2.0,-7.348
6,13.0,-7.520